No. 1
A geometry-optimized Rb2TmI6 structure. Source: Alexandria via LeMat-Bulk, functional PBE.

a = 3.962 Å, b = 10.733 Å, c = 10.801 Å
α = 119.79°, β = 90.00°, γ = 90.00°
Positions (direct):
1 I 0.000 0.786 0.788
2 I 0.500 0.433 0.430
3 I 0.000 0.210 0.000
4 I 0.500 0.003 0.570
5 I 0.000 0.998 0.212
6 I 0.500 0.568 0.000
7 Rb 0.000 0.337 0.667
8 Rb 0.000 0.670 0.333
9 Tm 0.500 0.997 0.000

Properties
density of states at the Fermi level	0.533	states/eV per atom
size of the total moment	0.0012	μB per atom
formation energy from raw total energies	-1135	meV/atom
DFT total energy	-25.93	eV per formula unit
symmetry	Amm2, No. 38

No. 2
A geometry-optimized RbTmI4 structure. Source: Alexandria via LeMat-Bulk, functional PBE.

a = 7.791 Å, b = 10.548 Å, c = 10.548 Å
α = 117.86°, β = 98.62°, γ = 98.62°
Positions (direct):
1 I 0.201 0.359 0.503
2 I 0.799 0.641 0.497
3 I 0.701 0.003 0.859
4 I 0.359 0.784 0.397
5 I 0.141 0.103 0.716
6 I 0.641 0.216 0.603
7 I 0.859 0.897 0.284
8 I 0.299 0.997 0.141
9 Rb 0.250 0.763 0.737
10 Rb 0.750 0.237 0.263
11 Tm 0.750 0.935 0.565
12 Tm 0.250 0.065 0.435

Properties
ΔE to the lowest computed polymorph	0	meV per atom
density of states at the Fermi level	0.000	states/eV per atom
size of the total moment	0.0000	μB per atom
formation energy from raw total energies	-1415	meV/atom
DFT total energy	-20.13	eV per formula unit
symmetry	C2/c, No. 15

No. 3
A geometry-optimized RbTmI3 structure. Source: Alexandria via LeMat-Bulk, functional PBE.

a = 5.995 Å, b = 5.995 Å, c = 5.995 Å
α = 90.00°, β = 90.00°, γ = 90.00°
Positions (direct):
1 Tm 0.000 0.000 0.000
2 I 0.500 0.000 0.000
3 I 0.000 0.500 0.000
4 I 0.000 0.000 0.500
5 Rb 0.500 0.500 0.500

Properties
ΔE to the lowest computed polymorph	107	meV per atom
density of states at the Fermi level	0.713	states/eV per atom
size of the total moment	0.0018	μB per atom
formation energy from raw total energies	-1142	meV/atom
DFT total energy	-15.80	eV per formula unit
symmetry	Pm-3m, No. 221

No. 4
A geometry-optimized Rb3TmI6 structure. Source: Alexandria via LeMat-Bulk, functional PBE.

a = 8.681 Å, b = 9.276 Å, c = 12.413 Å
α = 90.00°, β = 88.71°, γ = 90.00°
Positions (direct):
1 I 0.660 0.228 0.573
2 I 0.340 0.772 0.427
3 I 0.780 0.674 0.555
4 I 0.280 0.826 0.055
5 I 0.130 0.049 0.776
6 I 0.630 0.451 0.276
7 I 0.370 0.549 0.724
8 I 0.870 0.951 0.224
9 I 0.160 0.272 0.073
10 I 0.220 0.326 0.445
11 I 0.840 0.728 0.927
12 I 0.720 0.174 0.945
13 Tm 0.000 0.000 0.000
14 Tm 0.500 0.500 0.500
15 Rb 0.466 0.083 0.244
16 Rb 0.034 0.583 0.256
17 Rb 0.000 0.000 0.500
18 Rb 0.534 0.917 0.756
19 Rb 0.500 0.500 0.000
20 Rb 0.966 0.417 0.744

Properties
density of states at the Fermi level	0.000	states/eV per atom
size of the total moment	0.0000	μB per atom
formation energy from raw total energies	-1461	meV/atom
DFT total energy	-31.29	eV per formula unit
symmetry	P2_1/c, No. 14

No. 5
A geometry-optimized RbTmVI6 structure. Source: Alexandria via LeMat-Bulk, functional PBE.

a = 7.568 Å, b = 7.568 Å, c = 16.728 Å
α = 90.00°, β = 90.00°, γ = 120.00°
Positions (direct):
1 I 0.640 0.626 0.649
2 I 0.626 0.986 0.351
3 I 0.014 0.374 0.149
4 I 0.626 0.640 0.149
5 I 0.640 0.014 0.851
6 I 0.374 0.014 0.649
7 I 0.986 0.360 0.649
8 I 0.360 0.986 0.149
9 I 0.374 0.360 0.851
10 I 0.014 0.640 0.351
11 I 0.986 0.626 0.851
12 I 0.360 0.374 0.351
13 Rb 0.000 0.000 0.500
14 Rb 0.000 0.000 0.000
15 Tm 0.667 0.333 0.250
16 Tm 0.333 0.667 0.750
17 V 0.333 0.667 0.250
18 V 0.667 0.333 0.750

Properties
size of the total moment	0.3333	μB per atom
formation energy from raw total energies	-1080	meV/atom
DFT total energy	-33.58	eV per formula unit
symmetry	P-31c, No. 163

No. 6
A geometry-optimized Rb3UI6 structure. Source: Alexandria via LeMat-Bulk, functional PBE.

a = 8.729 Å, b = 9.437 Å, c = 12.620 Å
α = 90.00°, β = 88.74°, γ = 90.00°
Positions (direct):
1 I 0.662 0.220 0.576
2 I 0.838 0.720 0.924
3 I 0.791 0.676 0.559
4 I 0.365 0.555 0.729
5 I 0.338 0.780 0.424
6 I 0.135 0.055 0.771
7 I 0.709 0.176 0.941
8 I 0.209 0.324 0.441
9 I 0.291 0.824 0.059
10 I 0.162 0.280 0.076
11 I 0.635 0.445 0.271
12 I 0.865 0.945 0.229
13 Rb 0.965 0.415 0.744
14 Rb 0.535 0.915 0.756
15 Rb 0.035 0.585 0.256
16 Rb 0.000 0.000 0.500
17 Rb 0.500 0.500 0.000
18 Rb 0.465 0.085 0.244
19 U 0.500 0.500 0.500
20 U 0.000 0.000 0.000

Properties
ΔE to the lowest computed polymorph	0	meV per atom
size of the total moment	0.3000	μB per atom
formation energy from raw total energies	-1235	meV/atom
DFT total energy	-35.84	eV per formula unit
symmetry	P2_1/c, No. 14